# 1
Ho8TcRu2 | Alexandria | PBE | relaxed; distance to the lowest polymorph of the same formula = 49 meV/atom; DFT total energy = -67.304 eV per cell; formation energy = -0.16 eV per atom
1.0
4.1532 -6.2783 0.0000
4.1532 6.2783 0.0000
-1.8524 0.0000 5.4274
Ho Tc Ru
8 1 2
direct
0.0000 0.0000 0.0000 Ho
0.0307 0.2853 0.6012 Ho
0.1495 0.5818 0.1904 Ho
0.2853 0.0307 0.6012 Ho
0.4335 0.6895 0.7895 Ho
0.5818 0.1495 0.1904 Ho
0.6895 0.4335 0.7895 Ho
0.7185 0.7185 0.3761 Ho
0.3576 0.3576 0.0973 Tc
0.0430 0.6642 0.6800 Ru
0.6642 0.0430 0.6800 Ru

---

# 2
Ho8TcRu2 | Alexandria | PBE | relaxed; distance to the lowest polymorph of the same formula = 0 meV/atom; DFT total energy = -67.837 eV per cell; formation energy = -0.21 eV per atom
1.0
8.6455 -2.4125 0.0000
8.6455 2.4125 0.0000
-2.1384 0.0000 6.5309
Ho Tc Ru
8 1 2
direct
0.0298 0.0298 0.2945 Ho
0.2013 0.2013 0.8118 Ho
0.3316 0.3316 0.5368 Ho
0.4034 0.4034 0.0435 Ho
0.5966 0.5966 0.9565 Ho
0.6684 0.6684 0.4632 Ho
0.7987 0.7987 0.1882 Ho
0.9702 0.9702 0.7055 Ho
0.5000 0.5000 0.5000 Tc
0.1845 0.1845 0.1957 Ru
0.8155 0.8155 0.8043 Ru

---

# 3
HoTcRu | Alexandria | PBE | relaxed; distance to the lowest polymorph of the same formula = 443 meV/atom; DFT total energy = -47.440 eV per cell; formation energy = 0.17 eV per atom
1.0
4.2816 -2.6208 0.0000
4.2816 2.6208 0.0000
-1.3641 0.0000 5.0101
Ho Tc Ru
2 2 2
direct
0.1370 0.1370 0.3855 Ho
0.8630 0.8630 0.6145 Ho
0.0000 0.5000 0.0000 Tc
0.5000 0.0000 0.0000 Tc
0.4963 0.4963 0.7351 Ru
0.5037 0.5037 0.2649 Ru

---

# 4
Ho2Tc3Ru | Alexandria | PBE | relaxed; DFT total energy = -50.842 eV per cell; formation energy = -0.22 eV per atom
1.0
4.5296 -2.6187 0.0000
4.5296 2.6187 0.0000
-3.0367 0.0000 4.6293
Ho Tc Ru
2 3 1
direct
0.1250 0.1250 0.3747 Ho
0.8750 0.8750 0.6253 Ho
0.0000 0.5000 0.0000 Tc
0.5000 0.0000 0.0000 Tc
0.5000 0.5000 0.0000 Tc
0.5000 0.5000 0.5000 Ru

---

# 5
HoThTcRu | Alexandria | PBE | relaxed; DFT total energy = -32.605 eV per cell; formation energy = -0.24 eV per atom
1.0
0.0000 3.4714 3.4714
3.4714 0.0000 3.4714
3.4714 3.4714 0.0000
Ho Th Tc Ru
1 1 1 1
direct
0.0000 0.0000 0.0000 Ho
0.5000 0.5000 0.5000 Th
0.7500 0.7500 0.7500 Tc
0.2500 0.2500 0.2500 Ru

---

# 6
HoTcRuW | Alexandria | PBE | relaxed; DFT total energy = -37.405 eV per cell; formation energy = -0.06 eV per atom
1.0
0.0000 3.2330 3.2330
3.2330 0.0000 3.2330
3.2330 3.2330 0.0000
Ho Tc Ru W
1 1 1 1
direct
0.0000 0.0000 0.0000 Ho
0.2500 0.2500 0.2500 Tc
0.7500 0.7500 0.7500 Ru
0.5000 0.5000 0.5000 W